(1)
# Cs2TbCuCl6

An optimized crystal structure of Cs2TbCuCl6 (PBE, Alexandria via LeMat-Bulk).

Lattice parameters (Å, degrees): 10.5369 10.5369 10.5369 90.00 90.00 90.00
With the nearest neighbours (Å) after each atom.
Space group Fm-3m (No. 225)
Unique sites:
Cs  0.2500  0.2500  0.2500 [8 per cell]  12 Cl 3.73
Tb  0.0000  0.0000  0.0000 [4 per cell]  6 Cl 2.66
Cu  0.0000  0.0000  0.5000 [4 per cell]  6 Cl 2.60
Cl  0.0000  0.0000  0.2529 [24 per cell]  1 Cu 2.60, 1 Tb 2.66

Calculated values
D(E_F) ... 0.00 states/eV per atom
Formation energy without anion corrections ... -18.0 eV/f.u.

(2)
# CsTbCuCl6

An optimized crystal structure of CsTbCuCl6 (PBE, Alexandria via LeMat-Bulk).

Lattice parameters (Å, degrees): 7.2744 11.0057 7.7793 90.00 97.21 90.00
With the nearest neighbours (Å) after each atom.
Space group C2 (No. 5)
Unique sites:
Cs  0.0000  0.0000  0.0000 [2 per cell]  6 Cl 3.54-3.59
Tb  0.0000  0.6405  0.5000 [2 per cell]  6 Cl 2.57-2.73
Cu  0.0000  0.2913  0.5000 [2 per cell]  4 Cl 2.29-2.31
Cl  0.1097  0.4398  0.6931 [4 per cell]  1 Cu 2.29
Cl  0.1788  0.7664  0.7448 [4 per cell]  1 Tb 2.57
Cl  0.1836  0.1462  0.6517 [4 per cell]  1 Cu 2.31

Calculated values
Formation energy without anion corrections ... -14.7 eV/f.u.

(3)
# Cs2TbCuCl6

An optimized crystal structure of Cs2TbCuCl6 (PBE, Alexandria via LeMat-Bulk).

Lattice parameters (Å, degrees): 8.0621 8.0621 9.7428 90.00 90.00 90.00
With the nearest neighbours (Å) after each atom.
Space group I4/mmm (No. 139)
Unique sites:
Cs  0.0000  0.5000  0.2500 [4 per cell]  12 Cl 3.76-4.04
Tb  0.0000  0.0000  0.0000 [2 per cell]  6 Cl 2.64-2.69
Cu  0.0000  0.0000  0.5000 [2 per cell]  2 Cl 2.18
Cl  0.0000  0.0000  0.2758 [4 per cell]  1 Cu 2.18
Cl  0.2316  0.2316  0.0000 [8 per cell]  1 Tb 2.64

Calculated values
D(E_F) ... 0.00 states/eV per atom
Formation energy without anion corrections ... -18.2 eV/f.u.

(4)
# Cs3TbCu2Cl9

An optimized crystal structure of Cs3TbCu2Cl9 (PBE, Alexandria via LeMat-Bulk).

Lattice parameters (Å, degrees): 7.3296 7.3296 9.0468 90.00 90.00 120.00
With the nearest neighbours (Å) after each atom.
Space group P-3m1 (No. 164)
Unique sites:
Cs  0.0000  0.0000  0.0000 [1 per cell]  12 Cl 3.66-3.68
Cs  0.3333  0.6667  0.6726 [2 per cell]  12 Cl 3.64-3.73
Tb  0.0000  0.0000  0.5000 [1 per cell]  6 Cl 2.66
Cu  0.3333  0.6667  0.1297 [2 per cell]  3 Cl 2.42
Cl  0.0000  0.5000  0.0000 [3 per cell]  2 Cu 2.42
Cl  0.1703  0.3405  0.3292 [6 per cell]  1 Tb 2.66, 1 Cu 2.75

Calculated values
D(E_F) ... 0.16 states/eV per atom
Formation energy without anion corrections ... -23.7 eV/f.u.

(5)
# Cs2CuTeCl6

An optimized crystal structure of Cs2CuTeCl6 (PBE, Alexandria via LeMat-Bulk).

Lattice parameters (Å, degrees): 7.3935 7.3935 11.1596 90.00 90.00 90.00
With the nearest neighbours (Å) after each atom.
Space group I4/mmm (No. 139)
Unique sites:
Cs  0.0000  0.5000  0.2500 [4 per cell]  12 Cl 3.70-3.83
Cu  0.0000  0.0000  0.0000 [2 per cell]  4 Cl 2.35
Te  0.0000  0.0000  0.5000 [2 per cell]  6 Cl 2.57-2.87
Cl  0.0000  0.0000  0.2695 [4 per cell]  1 Te 2.57
Cl  0.2252  0.2252  0.0000 [8 per cell]  1 Cu 2.35

Calculated values
D(E_F) ... 0.44 states/eV per atom
Formation energy without anion corrections ... -11.0 eV/f.u.

(6)
# Cs2ThCu3Cl12

An optimized crystal structure of Cs2ThCu3Cl12 (PBE, Alexandria via LeMat-Bulk).

Lattice parameters (Å, degrees): 8.5305 8.5305 27.1574 90.00 90.00 120.00
With the nearest neighbours (Å) after each atom.
Space group R-3m (No. 166, hexagonal axes)
Unique sites:
Cs  0.0000  0.0000  0.1110 [6 per cell]  15 Cl 3.97-4.39
Th  0.0000  0.0000  0.5000 [3 per cell]  6 Cl 2.70
Cu  0.0000  0.5000  0.0000 [9 per cell]  4 Cl 2.27
Cl  0.0251  0.5126  0.1134 [18 per cell]  1 Th 2.70
Cl  0.0665  0.5333  0.3420 [18 per cell]  2 Cu 2.27

Calculated values
D(E_F) ... 0.40 states/eV per atom
Formation energy without anion corrections ... -23.2 eV/f.u.

(7)
# CsTl2CuCl4

An optimized crystal structure of CsTl2CuCl4 (PBE, Alexandria via LeMat-Bulk).

Lattice parameters (Å, degrees): 14.2260 12.2842 9.5963 90.00 132.28 90.00
With the nearest neighbours (Å) after each atom.
Space group C2/c (No. 15)
Unique sites:
Cs  0.2500  0.2500  0.0000 [4 per cell]  2 Cl 3.28
Tl  0.0000  0.0000  0.0000 [4 per cell]  4 Cl 3.11
Tl  0.2500  0.2500  0.5000 [4 per cell]  2 Cl 3.00
Cu  0.0000  0.5000  0.0000 [4 per cell]  2 Cl 2.14
Cl  0.9998  0.3262  0.0077 [8 per cell]  1 Cu 2.14
Cl  0.1876  0.0114  0.4369 [8 per cell]  3 Tl 3.00-3.11, 1 Cs 3.28

Calculated values
D(E_F) ... 0.00 states/eV per atom
Formation energy without anion corrections ... -8.4 eV/f.u.

(8)
# Cs2TlCu2Cl6

An optimized crystal structure of Cs2TlCu2Cl6 (PBE, Alexandria via LeMat-Bulk).

Lattice parameters (Å, degrees): 13.3712 7.3895 8.8671 90.00 116.92 90.00
With the nearest neighbours (Å) after each atom.
Space group C2/m (No. 12)
Unique sites:
Cs  0.2068  0.0000  0.1969 [4 per cell]  9 Cl 3.59-3.97
Tl  0.0000  0.0000  0.5000 [2 per cell]  6 Cl 3.18-3.21
Cu  0.0499  0.5000  0.2407 [4 per cell]  3 Cl 2.19-2.21
Cl  0.0580  0.2573  0.8170 [8 per cell]  1 Cu 2.21
Cl  0.2331  0.5000  0.3624 [4 per cell]  1 Cu 2.19

Calculated values
D(E_F) ... 0.55 states/eV per atom
Formation energy without anion corrections ... -12.7 eV/f.u.

(9)
# Cs3TlCu2Cl6

An optimized crystal structure of Cs3TlCu2Cl6 (PBE, Alexandria via LeMat-Bulk).

Lattice parameters (Å, degrees): 7.9071 7.9071 9.2276 90.00 90.00 120.00
With the nearest neighbours (Å) after each atom.
Space group P-3m1 (No. 164)
Unique sites:
Cs  0.0000  0.0000  0.0000 [1 per cell]  6 Cl 3.46
Cs  0.3333  0.6667  0.6675 [2 per cell]  1 Cu 3.69, 6 Cl 3.99
Tl  0.0000  0.0000  0.5000 [1 per cell]  6 Cl 3.13
Cu  0.3333  0.6667  0.2674 [2 per cell]  3 Cl 2.22
Cl  0.1714  0.3428  0.2757 [6 per cell]  1 Cu 2.22

Calculated values
D(E_F) ... 0.00 states/eV per atom
Formation energy without anion corrections ... -15.2 eV/f.u.

(10)
# Cs2TlCuCl6

An optimized crystal structure of Cs2TlCuCl6 (PBE, Alexandria via LeMat-Bulk).

Lattice parameters (Å, degrees): 10.4874 10.4874 10.4874 90.00 90.00 90.00
With the nearest neighbours (Å) after each atom.
Space group Fm-3m (No. 225)
Unique sites:
Cs  0.2500  0.2500  0.2500 [8 per cell]  12 Cl 3.71
Tl  0.0000  0.0000  0.0000 [4 per cell]  6 Cl 2.76
Cu  0.0000  0.0000  0.5000 [4 per cell]  6 Cl 2.48
Cl  0.0000  0.0000  0.2634 [24 per cell]  1 Cu 2.48, 1 Tl 2.76

Calculated values
D(E_F) ... 0.35 states/eV per atom
Formation energy without anion corrections ... -12.2 eV/f.u.

(11)
# CsTl3Cu4Cl12

An optimized crystal structure of CsTl3Cu4Cl12 (PBE, Alexandria via LeMat-Bulk).

Lattice parameters (Å, degrees): 14.5718 14.5718 11.0308 90.00 90.00 120.00
With the nearest neighbours (Å) after each atom.
Space group R32 (No. 155, hexagonal axes)
Unique sites:
Cs  0.0000  0.0000  0.0000 [3 per cell]  6 Cl 3.56
Tl  0.0000  0.5559  0.0000 [9 per cell]  6 Cl 2.89-3.02
Cu  0.0000  0.0000  0.5000 [3 per cell]  3 Cl 2.19
Cu  0.0000  0.4359  0.5000 [9 per cell]  3 Cl 2.17-2.22
Cl  0.0000  0.5882  0.5000 [9 per cell]  1 Cu 2.22
Cl  0.0000  0.8496  0.5000 [9 per cell]  1 Cu 2.19
Cl  0.0274  0.2023  0.2033 [18 per cell]  1 Cu 2.17

Calculated values
D(E_F) ... 0.71 states/eV per atom
Formation energy without anion corrections ... -15.3 eV/f.u.

(12)
# CsTl2CuCl5

An optimized crystal structure of CsTl2CuCl5 (PBE, Alexandria via LeMat-Bulk).

Lattice parameters (Å, degrees): 8.7182 8.7182 14.6218 90.00 90.00 90.00
With the nearest neighbours (Å) after each atom.
Space group I4/mcm (No. 140)
Unique sites:
Cs  0.0000  0.0000  0.2500 [4 per cell]  10 Cl 3.66-3.69
Tl  0.1736  0.3264  0.0000 [8 per cell]  8 Cl 3.16-3.49
Cu  0.0000  0.5000  0.2500 [4 per cell]  4 Cl 2.27
Cl  0.0000  0.0000  0.0000 [4 per cell]  4 Tl 3.22
Cl  0.1386  0.3614  0.3526 [16 per cell]  1 Cu 2.27

Calculated values
D(E_F) ... 0.81 states/eV per atom
Formation energy without anion corrections ... -9.6 eV/f.u.

(13)
# CsTlCuCl3

An optimized crystal structure of CsTlCuCl3 (PBE, Alexandria via LeMat-Bulk).

Lattice parameters (Å, degrees): 17.5477 5.9503 8.7051 90.00 119.38 90.00
With the nearest neighbours (Å) after each atom.
Space group C2/m (No. 12)
Unique sites:
Cs  0.1624  0.0000  0.1604 [4 per cell]  8 Cl 3.43-3.79
Tl  0.1407  0.0000  0.6388 [4 per cell]  2 Cl 2.92-2.93
Cu  0.0007  0.5000  0.2715 [4 per cell]  2 Cl 2.17
Cl  0.0004  0.0000  0.2734 [4 per cell]  2 Tl 2.92-2.93, 2 Cu 2.98
Cl  0.1411  0.5000  0.8783 [4 per cell]  1 Cu 2.17
Cl  0.1426  0.5000  0.4077 [4 per cell]  1 Cu 2.17

Calculated values
D(E_F) ... 0.00 states/eV per atom
Formation energy without anion corrections ... -6.6 eV/f.u.

(14)
# CsTlCu2Cl5

An optimized crystal structure of CsTlCu2Cl5 (PBE, Alexandria via LeMat-Bulk).

Lattice parameters (Å, degrees): 4.7962 4.7962 10.3386 90.00 90.00 90.00
With the nearest neighbours (Å) after each atom.
Space group P4/mmm (No. 123)
Unique sites:
Cs  0.0000  0.0000  0.0000 [1 per cell]  12 Cl 3.39-3.76
Tl  0.0000  0.0000  0.5000 [1 per cell]  8 Cl 3.30
Cu  0.5000  0.5000  0.2425 [2 per cell]  5 Cl 2.43-2.51
Cl  0.0000  0.5000  0.2803 [4 per cell]  2 Cu 2.43
Cl  0.5000  0.5000  0.0000 [1 per cell]  2 Cu 2.51

Calculated values
D(E_F) ... 0.38 states/eV per atom
Formation energy without anion corrections ... -8.5 eV/f.u.

(15)
# Cs3Tl2CuCl9

An optimized crystal structure of Cs3Tl2CuCl9 (PBE, Alexandria via LeMat-Bulk).

Lattice parameters (Å, degrees): 7.5530 7.5530 9.2688 90.00 90.00 120.00
With the nearest neighbours (Å) after each atom.
Space group P-3m1 (No. 164)
Unique sites:
Cs  0.0000  0.0000  0.0000 [1 per cell]  12 Cl 3.78-3.79
Cs  0.3333  0.6667  0.6655 [2 per cell]  12 Cl 3.77-3.79
Tl  0.3333  0.6667  0.1870 [2 per cell]  6 Cl 2.76-2.79
Cu  0.0000  0.0000  0.5000 [1 per cell]  6 Cl 2.48
Cl  0.0000  0.5000  0.0000 [3 per cell]  2 Tl 2.79
Cl  0.1551  0.3103  0.3458 [6 per cell]  1 Cu 2.48, 1 Tl 2.76

Calculated values
D(E_F) ... 0.07 states/eV per atom
Formation energy without anion corrections ... -18.8 eV/f.u.

(16)
# Cs4TlCu3Cl12

An optimized crystal structure of Cs4TlCu3Cl12 (PBE, Alexandria via LeMat-Bulk).

Lattice parameters (Å, degrees): 10.2372 10.2372 10.2372 90.00 90.00 90.00
With the nearest neighbours (Å) after each atom.
Space group Im-3m (No. 229)
Unique sites:
Cs  0.2500  0.2500  0.2500 [8 per cell]  12 Cl 3.62
Tl  0.0000  0.0000  0.0000 [2 per cell]  6 Cl 2.73
Cu  0.0000  0.0000  0.5000 [6 per cell]  6 Cl 2.38-2.56
Cl  0.0000  0.0000  0.2671 [12 per cell]  1 Cu 2.38
Cl  0.0000  0.2500  0.5000 [12 per cell]  2 Cu 2.56

Calculated values
D(E_F) ... 0.37 states/eV per atom
Formation energy without anion corrections ... -22.8 eV/f.u.

(17)
# CsTlCu2Cl6

An optimized crystal structure of CsTlCu2Cl6 (PBE, Alexandria via LeMat-Bulk).

Lattice parameters (Å, degrees): 11.3284 14.5097 9.3702 90.00 109.75 90.00
With the nearest neighbours (Å) after each atom.
Space group C2/c (No. 15)
Unique sites:
Cs  0.0000  0.1511  0.2500 [4 per cell]  8 Cl 3.61-3.90
Tl  0.0000  0.4359  0.7500 [4 per cell]  8 Cl 3.27-3.48
Cu  0.2360  0.1327  0.7052 [8 per cell]  3 Cl 2.14-2.19
Cl  0.0853  0.3790  0.1079 [8 per cell]  1 Cu 2.19
Cl  0.1808  0.2746  0.6773 [8 per cell]  1 Cu 2.14
Cl  0.1864  0.0006  0.5983 [8 per cell]  1 Cu 2.15

Calculated values
D(E_F) ... 0.41 states/eV per atom
Formation energy without anion corrections ... -8.7 eV/f.u.

(18)
# Cs2TmCu2Cl6

An optimized crystal structure of Cs2TmCu2Cl6 (PBE, Alexandria via LeMat-Bulk).

Lattice parameters (Å, degrees): 12.8791 7.3476 8.5578 90.00 122.79 90.00
With the nearest neighbours (Å) after each atom.
Space group C2/m (No. 12)
Unique sites:
Cs  0.2109  0.0000  0.1982 [4 per cell]  9 Cl 3.53-3.89
Tm  0.0000  0.0000  0.5000 [2 per cell]  6 Cl 2.62
Cu  0.0417  0.5000  0.1648 [4 per cell]  3 Cl 2.41-2.43, 1 Cu 2.41
Cl  0.0361  0.2444  0.7478 [8 per cell]  1 Cu 2.43, 1 Tm 2.62
Cl  0.2366  0.0000  0.6306 [4 per cell]  1 Cu 2.41, 1 Tm 2.62

Calculated values
D(E_F) ... 0.09 states/eV per atom
Formation energy without anion corrections ... -16.0 eV/f.u.

(19)
# CsTmCu2Cl6

An optimized crystal structure of CsTmCu2Cl6 (PBE, Alexandria via LeMat-Bulk).

Lattice parameters (Å, degrees): 10.1172 13.8181 8.4798 90.00 107.08 90.00
With the nearest neighbours (Å) after each atom.
Space group C2/c (No. 15)
Unique sites:
Cs  0.0000  0.1459  0.2500 [4 per cell]  8 Cl 3.47-3.79
Tm  0.0000  0.4463  0.7500 [4 per cell]  8 Cl 2.72-2.83
Cu  0.2167  0.1444  0.7254 [8 per cell]  2 Cl 2.13-2.15
Cl  0.0331  0.3924  0.0680 [8 per cell]  1 Cu 2.67, 2 Tm 2.72-2.79
Cl  0.1777  0.2899  0.7827 [8 per cell]  1 Cu 2.13
Cl  0.2243  0.0081  0.6064 [8 per cell]  1 Cu 2.15

Calculated values
D(E_F) ... 0.00 states/eV per atom
Formation energy without anion corrections ... -14.3 eV/f.u.